# Ca2Zn2Cu5Pt

A relaxed Ca2Zn2Cu5Pt crystal (PBE, Alexandria).

Lattice parameters (Å, degrees): 9.5574 9.5574 3.6360 90.00 90.00 90.00
With the nearest neighbours (Å) after each atom.
Space group P4/mbm (No. 127)
Unique sites:
Ca (0.1806, 0.3194, 0.0000) x4  3 Zn 2.72-2.92, 2 Cu 3.04
Zn (0.1180, 0.6180, 0.0000) x4  6 Cu 2.42-2.63
Cu (0.0000, 0.5000, 0.5000) x2  4 Zn 2.42
Cu (0.0534, 0.8057, 0.5000) x8  2 Zn 2.63, 2 Pt 2.65, 2 Cu 2.72
Pt (0.0000, 0.0000, 0.0000) x2  8 Cu 2.65

Properties
total energy	-68.762	eV/cell
DFT formation energy	-0.131	eV/atom



# Pm3Ho6ErTm2

A relaxed Pm3Ho6ErTm2 crystal (PBE, Alexandria).

Lattice parameters (Å, degrees): 6.1499 10.6433 11.7414 90.00 100.02 90.00
With the nearest neighbours (Å) after each atom.
Space group C2/m (No. 12)
Unique sites:
Pm (0.0000, 0.0000, 0.0000) x2  6 Pm 3.55, 6 Ho 3.58
Pm (0.0000, 0.3333, 0.0000) x4  6 Pm 3.55, 6 Ho 3.58
Ho (0.2483, 0.0000, 0.7457) x4  2 Tm 3.50, 1 Er 3.50, 6 Ho 3.55, 3 Pm 3.58
Ho (0.2486, 0.3333, 0.7458) x8  2 Tm 3.50, 1 Er 3.50, 6 Ho 3.55, 3 Pm 3.58
Er (0.0000, 0.5000, 0.5000) x2  6 Ho 3.50, 6 Tm 3.55
Tm (0.0000, 0.1668, 0.5000) x4  6 Ho 3.50, 3 Er 3.55, 3 Tm 3.55

Properties
total energy	-109.950	eV/cell
DFT formation energy	0.021	eV/atom